*P*
PrYGaPd after structural relaxation. Source: Alexandria via LeMat-Bulk, functional PBE.

Calculated values
The space-group type is F-43m.

Cell: 5.1401 5.1401 5.1401 Å, 60.00 60.00 60.00°
Last column: nearest neighbours and their distance in Å.
Fractional coordinates of all 4 atoms:
Pr 0.2500 0.2500 0.2500  4 Ga 3.15, 4 Pd 3.15
Y 0.7500 0.7500 0.7500  4 Pd 3.15, 4 Ga 3.15
Ga 0.5000 0.5000 0.5000  4 Y 3.15, 4 Pr 3.15
Pd 0.0000 0.0000 0.0000  4 Pr 3.15, 4 Y 3.15


*Q*
PrYGaPd after structural relaxation. Source: Alexandria via LeMat-Bulk, functional PBE.

Calculated values
The space-group type is Amm2.

Cell: 3.9027 4.4965 5.9483 Å, 90.00 109.15 90.00°
Last column: nearest neighbours and their distance in Å.
Fractional coordinates of all 4 atoms:
Pr 0.1452 0.0000 0.2903  4 Ga 3.09, 3 Pd 3.13-3.16
Y 0.8603 0.5000 0.7205  4 Pd 3.06, 3 Ga 3.07-3.25
Ga 0.5708 0.5000 0.1416  2 Pd 2.79, 2 Y 3.07, 4 Pr 3.09
Pd 0.4237 0.0000 0.8475  2 Ga 2.79, 4 Y 3.06


Quick one: most stable of them? *Q*


*P*
GaPd4Pt after structural relaxation. Source: Alexandria via LeMat-Bulk, functional PBE.

Calculated values
The space-group type is P2_1/c.

Cell: 8.2067 4.8106 9.2821 Å, 90.42 90.00 90.00°
Last column: nearest neighbours and their distance in Å.
Fractional coordinates of all 24 atoms:
Ga 0.9016 0.5922 0.8568  1 Pt 2.66, 10 Pd 2.66-2.87
Ga 0.4016 0.4078 0.6432  1 Pt 2.66, 10 Pd 2.66-2.87
Ga 0.0984 0.4078 0.1432  1 Pt 2.66, 10 Pd 2.66-2.87
Ga 0.5984 0.5922 0.3568  1 Pt 2.66, 10 Pd 2.66-2.87
Pd 0.7442 0.0797 0.8682  2 Ga 2.68-2.79, 7 Pd 2.70-2.91, 3 Pt 2.74-2.82
Pd 0.2442 0.9203 0.6318  2 Ga 2.68-2.79, 7 Pd 2.70-2.91, 3 Pt 2.74-2.82
Pd 0.2558 0.9203 0.1318  2 Ga 2.68-2.79, 7 Pd 2.70-2.91, 3 Pt 2.74-2.82
Pd 0.7558 0.0797 0.3682  2 Ga 2.68-2.79, 7 Pd 2.70-2.91, 3 Pt 2.74-2.82
Pd 0.2305 0.5985 0.8863  7 Pd 2.68-2.88, 3 Ga 2.71-2.81, 2 Pt 2.78-2.87
Pd 0.7305 0.4015 0.6137  7 Pd 2.68-2.88, 3 Ga 2.71-2.81, 2 Pt 2.78-2.87
Pd 0.7695 0.4015 0.1137  7 Pd 2.68-2.88, 3 Ga 2.71-2.81, 2 Pt 2.78-2.87
Pd 0.2695 0.5985 0.3863  7 Pd 2.68-2.88, 3 Ga 2.71-2.81, 2 Pt 2.78-2.87
Pd 0.5778 0.5847 0.8722  2 Ga 2.66-2.70, 7 Pd 2.75-2.88, 3 Pt 2.76-2.82
Pd 0.0778 0.4153 0.6278  2 Ga 2.66-2.70, 7 Pd 2.75-2.88, 3 Pt 2.76-2.82
Pd 0.4222 0.4153 0.1278  2 Ga 2.66-2.70, 7 Pd 2.75-2.88, 3 Pt 2.76-2.82
Pd 0.9222 0.5847 0.3722  2 Ga 2.66-2.70, 7 Pd 2.75-2.88, 3 Pt 2.76-2.82
Pd 0.0729 0.1099 0.8831  7 Pd 2.68-2.91, 3 Ga 2.73-2.87, 2 Pt 2.77-2.90
Pd 0.5729 0.8901 0.6169  7 Pd 2.68-2.91, 3 Ga 2.73-2.87, 2 Pt 2.77-2.90
Pd 0.9271 0.8901 0.1169  7 Pd 2.68-2.91, 3 Ga 2.73-2.87, 2 Pt 2.77-2.90
Pd 0.4271 0.1099 0.3831  7 Pd 2.68-2.91, 3 Ga 2.73-2.87, 2 Pt 2.77-2.90
Pt 0.4101 0.0877 0.8754  1 Ga 2.66, 10 Pd 2.74-2.90, 1 Pt 2.88
Pt 0.9101 0.9123 0.6246  1 Ga 2.66, 10 Pd 2.74-2.90, 1 Pt 2.88
Pt 0.5899 0.9123 0.1246  1 Ga 2.66, 10 Pd 2.74-2.90, 1 Pt 2.88
Pt 0.0899 0.0877 0.3754  1 Ga 2.66, 10 Pd 2.74-2.90, 1 Pt 2.88


*Q*
GaPd4Pt after structural relaxation. Source: Alexandria via LeMat-Bulk, functional PBE.

Calculated values
The space-group type is Fddd.

Cell: 5.3396 5.3387 8.0192 Å, 99.89 99.89 118.82°
Last column: nearest neighbours and their distance in Å.
Fractional coordinates of all 12 atoms:
Ga 0.3750 0.6250 0.2499  8 Pd 2.64-2.76, 2 Pt 2.72
Ga 0.6250 0.3750 0.7501  8 Pd 2.64-2.76, 2 Pt 2.72
Pd 0.2187 0.9580 0.4325  2 Ga 2.64-2.76, 7 Pd 2.69-2.92, 2 Pt 2.72-2.75
Pd 0.0419 0.7814 0.0674  2 Ga 2.64-2.76, 7 Pd 2.69-2.92, 2 Pt 2.72-2.75
Pd 0.2868 0.5258 0.5675  2 Ga 2.64-2.76, 7 Pd 2.69-2.93, 2 Pt 2.72-2.75
Pd 0.4741 0.7133 0.9325  2 Ga 2.64-2.76, 7 Pd 2.69-2.93, 2 Pt 2.72-2.75
Pd 0.7813 0.0420 0.5675  2 Ga 2.64-2.76, 7 Pd 2.69-2.92, 2 Pt 2.72-2.75
Pd 0.7132 0.4742 0.4325  2 Ga 2.64-2.76, 7 Pd 2.69-2.93, 2 Pt 2.72-2.75
Pd 0.9581 0.2186 0.9326  2 Ga 2.64-2.76, 7 Pd 2.69-2.92, 2 Pt 2.72-2.75
Pd 0.5259 0.2867 0.0675  2 Ga 2.64-2.76, 7 Pd 2.69-2.93, 2 Pt 2.72-2.75
Pt 0.8749 0.1251 0.2500  2 Ga 2.72, 8 Pd 2.72-2.75
Pt 0.1251 0.8749 0.7500  2 Ga 2.72, 8 Pd 2.72-2.75


Quick one: most stable of them? *P*


*P*
Ga2Pd3Pt after structural relaxation. Source: Alexandria via LeMat-Bulk, functional PBE.

Calculated values
The space-group type is Ibam.

Cell: 5.4217 5.4219 7.5564 Å, 111.02 111.02 90.00°
Last column: nearest neighbours and their distance in Å.
Fractional coordinates of all 12 atoms:
Ga 0.3792 0.1324 0.2649  4 Pd 2.45-2.75, 2 Pt 2.57
Ga 0.6208 0.8676 0.7351  4 Pd 2.45-2.75, 2 Pt 2.57
Ga 0.1143 0.3676 0.7351  4 Pd 2.45-2.75, 2 Pt 2.57
Ga 0.8857 0.6324 0.2649  4 Pd 2.45-2.75, 2 Pt 2.57
Pd 0.4382 0.6792 0.3583  2 Ga 2.45-2.75
Pd 0.5618 0.3208 0.6417  2 Ga 2.45-2.75
Pd 0.0798 0.8208 0.6417  2 Ga 2.45-2.75
Pd 0.9202 0.1792 0.3583  2 Ga 2.45-2.75
Pd 0.5000 0.7500 0.0000  4 Ga 2.59, 2 Pt 2.71, 2 Pd 2.71
Pd 0.5000 0.2500 0.0000  4 Ga 2.59, 2 Pt 2.71, 2 Pd 2.71
Pt 0.0000 0.2500 0.0000  4 Ga 2.57, 2 Pd 2.71, 2 Pt 2.71
Pt 0.0000 0.7500 0.0000  4 Ga 2.57, 2 Pd 2.71, 2 Pt 2.71


*Q*
Ga2Pd3Pt after structural relaxation. Source: Alexandria via LeMat-Bulk, functional PBE.

Calculated values
The space-group type is Ibam.

Cell: 7.1175 5.5912 6.9710 Å, 113.64 120.70 90.00°
Last column: nearest neighbours and their distance in Å.
Fractional coordinates of all 12 atoms:
Ga 0.5783 0.3615 0.7230  1 Pt 2.49, 6 Pd 2.52-2.63
Ga 0.8553 0.1385 0.2770  1 Pt 2.49, 6 Pd 2.52-2.63
Ga 0.1447 0.8615 0.7230  1 Pt 2.49, 6 Pd 2.52-2.63
Ga 0.4217 0.6385 0.2770  1 Pt 2.49, 6 Pd 2.52-2.63
Pd 0.5000 0.2500 0.0000  4 Ga 2.55, 2 Pd 2.80
Pd 0.5000 0.7500 0.0000  4 Ga 2.55, 2 Pd 2.80
Pd 0.7728 0.0228 0.5456  4 Ga 2.52-2.63, 2 Pt 2.79, 2 Pd 2.80
Pd 0.2272 0.4772 0.4544  4 Ga 2.52-2.63, 2 Pt 2.79, 2 Pd 2.80
Pd 0.2272 0.9772 0.4544  4 Ga 2.52-2.63, 2 Pt 2.79, 2 Pd 2.80
Pd 0.7728 0.5228 0.5456  4 Ga 2.52-2.63, 2 Pt 2.79, 2 Pd 2.80
Pt 0.0000 0.5000 0.0000  2 Ga 2.49, 4 Pd 2.79
Pt 0.0000 0.0000 0.0000  2 Ga 2.49, 4 Pd 2.79


Quick one: most stable of them? *P*


*P*
Ga2Pd2Pt3 after structural relaxation. Source: Alexandria via LeMat-Bulk, functional PBE.

Calculated values
The space-group type is Immm.

Cell: 2.8477 3.9669 9.9127 Å, 101.54 98.26 90.00°
Last column: nearest neighbours and their distance in Å.
Fractional coordinates of all 7 atoms:
Ga 0.6523 0.1523 0.3046  2 Pd 2.51, 5 Pt 2.65-2.73
Ga 0.3477 0.8477 0.6954  2 Pd 2.51, 5 Pt 2.65-2.73
Pd 0.5725 0.5725 0.1450  2 Ga 2.51, 1 Pd 2.79
Pd 0.4275 0.4275 0.8550  2 Ga 2.51, 1 Pd 2.79
Pt 0.0000 0.0000 0.0000  8 Pd 2.81, 2 Pt 2.85
Pt 0.2055 0.7055 0.4110  5 Ga 2.65-2.73, 2 Pt 2.85, 2 Pd 2.93
Pt 0.7945 0.2945 0.5890  5 Ga 2.65-2.73, 2 Pt 2.85, 2 Pd 2.93


*Q*
Ga2Pd2Pt3 after structural relaxation. Source: Alexandria via LeMat-Bulk, functional PBE.

Calculated values
The space-group type is C2/m.

Cell: 3.9243 4.7826 6.6024 Å, 104.40 90.00 114.22°
Last column: nearest neighbours and their distance in Å.
Fractional coordinates of all 7 atoms:
Ga 0.8138 0.6276 0.8148  4 Pd 2.60-2.72, 5 Pt 2.60-2.68
Ga 0.1862 0.3724 0.1852  4 Pd 2.60-2.72, 5 Pt 2.60-2.68
Pd 0.8883 0.7766 0.2396  4 Ga 2.60-2.72, 5 Pt 2.85-2.90
Pd 0.1117 0.2234 0.7604  4 Ga 2.60-2.72, 5 Pt 2.85-2.90
Pt 0.5000 0.0000 0.0000  4 Ga 2.63, 2 Pt 2.77, 4 Pd 2.85
Pt 0.6294 0.2587 0.4321  3 Ga 2.60-2.68, 4 Pt 2.65-2.84, 3 Pd 2.88-2.90
Pt 0.3706 0.7413 0.5679  3 Ga 2.60-2.68, 4 Pt 2.65-2.84, 3 Pd 2.88-2.90


Quick one: most stable of them? *Q*


*P*
Ga8Pd2Pt after structural relaxation. Source: Alexandria via LeMat-Bulk, functional PBE.

Calculated values
The space-group type is P1.

Cell: 4.8354 5.1865 8.0468 Å, 109.10 107.22 89.28°
Last column: nearest neighbours and their distance in Å.
Fractional coordinates of all 11 atoms:
Pt 0.0900 0.9101 0.9091  10 Ga 2.61-2.92
Pd 0.7536 0.5725 0.2349  10 Ga 2.63-2.79
Pd 0.4280 0.2463 0.5834  10 Ga 2.63-2.79
Ga 0.8413 0.3588 0.9075  2 Ga 2.47-2.48, 1 Pt 2.61, 2 Pd 2.66
Ga 0.9246 0.9805 0.5524  2 Ga 2.58-2.61, 3 Pd 2.64-2.79, 1 Pt 2.89
Ga 0.2798 0.3382 0.2667  2 Ga 2.58-2.61, 3 Pd 2.63-2.79
Ga 0.6877 0.0066 0.1035  2 Pd 2.76, 2 Pt 2.78-2.81, 7 Ga 2.82-3.05
Ga 0.2586 0.8363 0.2681  2 Ga 2.58-2.61, 3 Pd 2.63-2.78
Ga 0.9011 0.4762 0.5492  2 Ga 2.58-2.61, 3 Pd 2.63-2.78
Ga 0.3414 0.4628 0.9109  2 Ga 2.47-2.48, 1 Pt 2.61, 2 Pd 2.66
Ga 0.4939 0.8116 0.7142  2 Pd 2.76, 2 Pt 2.79-2.80, 7 Ga 2.82-3.06


*Q*
Ga8Pd2Pt after structural relaxation. Source: Alexandria via LeMat-Bulk, functional PBE.

Calculated values
The space-group type is C2/m.

Cell: 4.1288 5.4162 9.1513 Å, 109.32 103.04 90.00°
Last column: nearest neighbours and their distance in Å.
Fractional coordinates of all 11 atoms:
Ga 0.3885 0.5606 0.7769  1 Pt 2.53, 2 Pd 2.66, 2 Ga 2.74-2.79
Ga 0.6454 0.9726 0.2908  1 Pt 2.65, 3 Pd 2.67-2.90, 6 Ga 2.69-2.89
Ga 0.7854 0.7130 0.5708  4 Pd 2.63-2.88, 2 Ga 2.69
Ga 0.9716 0.2495 0.9431  1 Ga 2.55, 2 Pt 2.61, 1 Pd 2.83
Ga 0.2146 0.2870 0.4292  4 Pd 2.63-2.88, 2 Ga 2.69
Ga 0.3546 0.0274 0.7092  1 Pt 2.65, 3 Pd 2.67-2.90, 6 Ga 2.69-2.89
Ga 0.6115 0.4394 0.2231  1 Pt 2.53, 2 Pd 2.66, 2 Ga 2.74-2.79
Ga 0.0284 0.7505 0.0569  1 Ga 2.55, 2 Pt 2.61, 1 Pd 2.83
Pd 0.8150 0.2692 0.6300  10 Ga 2.63-2.90
Pd 0.1850 0.7308 0.3700  10 Ga 2.63-2.90
Pt 0.5000 0.0000 0.0000  8 Ga 2.53-2.65


Quick one: most stable of them? *Q*


*P*
GaPd2Pt2 after structural relaxation. Source: Alexandria via LeMat-Bulk, functional PBE.

Calculated values
The space-group type is C2/m.

Cell: 5.4743 5.1101 7.2846 Å, 78.90 68.94 57.61°
Last column: nearest neighbours and their distance in Å.
Fractional coordinates of all 10 atoms:
Ga 0.1712 0.6577 0.0000  4 Pt 2.51-2.61, 2 Pd 2.58
Ga 0.8288 0.3423 0.0000  4 Pt 2.51-2.61, 2 Pd 2.58
Pd 0.7656 0.0000 0.4577  6 Pt 2.74-2.87, 4 Pd 2.75-2.85
Pd 0.5895 0.0000 0.1453  2 Ga 2.58, 3 Pd 2.63-2.85, 2 Pt 2.75
Pd 0.4105 0.0000 0.8547  2 Ga 2.58, 3 Pd 2.63-2.85, 2 Pt 2.75
Pd 0.2344 0.0000 0.5423  6 Pt 2.74-2.87, 4 Pd 2.75-2.85
Pt 0.6312 0.4347 0.7025  2 Ga 2.51-2.61, 3 Pd 2.74-2.75, 2 Pt 2.79
Pt 0.3688 0.5653 0.2975  2 Ga 2.51-2.61, 3 Pd 2.74-2.75, 2 Pt 2.79
Pt 0.0659 0.5653 0.7025  2 Ga 2.51-2.61, 3 Pd 2.74-2.75, 2 Pt 2.79
Pt 0.9341 0.4347 0.2975  2 Ga 2.51-2.61, 3 Pd 2.74-2.75, 2 Pt 2.79


*Q*
GaPd2Pt2 after structural relaxation. Source: Alexandria via LeMat-Bulk, functional PBE.

Calculated values
The space-group type is P4/mbm.

Cell: 6.4543 6.4543 4.0141 Å, 90.00 90.00 90.00°
Last column: nearest neighbours and their distance in Å.
Fractional coordinates of all 10 atoms:
Ga 0.0000 0.0000 0.0000  4 Pt 2.48
Ga 0.5000 0.5000 0.0000  4 Pt 2.48
Pd 0.1580 0.6580 0.5000  6 Pt 2.70-2.80, 1 Pd 2.88
Pd 0.6580 0.8420 0.5000  6 Pt 2.70-2.80, 1 Pd 2.88
Pd 0.8420 0.3420 0.5000  6 Pt 2.70-2.80, 1 Pd 2.88
Pd 0.3420 0.1580 0.5000  6 Pt 2.70-2.80, 1 Pd 2.88
Pt 0.3560 0.8560 0.0000  2 Ga 2.48, 1 Pt 2.63, 2 Pd 2.70
Pt 0.8560 0.6440 0.0000  2 Ga 2.48, 1 Pt 2.63, 2 Pd 2.70
Pt 0.6440 0.1440 0.0000  2 Ga 2.48, 1 Pt 2.63, 2 Pd 2.70
Pt 0.1440 0.3560 0.0000  2 Ga 2.48, 1 Pt 2.63, 2 Pd 2.70


Quick one: most stable of them? *P*